This record from Alexandria via LeMat-Bulk describes an optimized crystal structure of SrVCdO4. The functional is GGA+U. Values from VASP.

Output
Density of states at the Fermi level   0.1909 states/eV per atom
Raw total energy   -0.45717 Ry/atom
Crystal system   monoclinic
Size of the total moment   0.0 μB per cell

```
&SYSTEM
  ibrav = 0, nat = 14, ntyp = 4
/
ATOMIC_SPECIES
O 16.00 O.upf
V 50.94 V.upf
Cd 112.41 Cd.upf
Sr 87.62 Sr.upf
ATOMIC_POSITIONS angstrom
O 1.0714 4.3427 3.6738
O 2.4882 4.3427 1.0604
O -0.0227 5.6958 1.4137
O 2.1909 1.4476 2.7202
O 3.2850 2.8006 4.9803
O 0.7741 1.4476 5.3335
O 3.2850 0.0945 4.9803
O -0.0227 2.9897 1.4137
V 0.9659 4.3427 1.9642
V 2.2964 1.4476 4.4298
Cd -0.8183 1.4476 3.0008
Cd 4.0806 4.3427 3.3932
Sr 1.5903 1.4476 0.2007
Sr 1.6720 4.3427 6.1933
CELL_PARAMETERS angstrom
6.0860 0.0000 -0.3491
0.0000 5.7903 0.0000
-2.8238 0.0000 6.7431
```